Version 1
! LiTa2Fe (PBE, optimized geometry); values from VASP
&SYSTEM
  ibrav = 0, nat = 8, ntyp = 3
/
ATOMIC_SPECIES
Li 6.94 Li.upf
Ta 180.95 Ta.upf
Fe 55.84 Fe.upf
CELL_PARAMETERS angstrom
-3.4528 3.4528 2.7160
3.4528 -3.4528 2.7160
3.4528 3.4528 -2.7160
ATOMIC_POSITIONS crystal
Li 0.0000 0.0000 0.0000
Li 0.7500 0.2500 0.5000
Ta 0.1620 0.6250 0.0370
Ta 0.3750 0.4120 0.5370
Ta 0.5880 0.1250 0.9630
Ta 0.8750 0.8380 0.4630
Fe 0.2500 0.7500 0.5000
Fe 0.5000 0.5000 0.0000
! DOS at the Fermi energy	0.820	states/eV/atom
! crystal system	tetragonal
! SG	I-42d (122)


Version 2
! LiTa2Fe (PBE, optimized geometry); values from VASP
&SYSTEM
  ibrav = 0, nat = 4, ntyp = 3
/
ATOMIC_SPECIES
Li 6.94 Li.upf
Ta 180.95 Ta.upf
Fe 55.84 Fe.upf
CELL_PARAMETERS angstrom
4.2768 0.0000 0.0000
0.0000 4.2768 0.0000
0.0000 0.0000 3.1654
ATOMIC_POSITIONS crystal
Li 0.0000 0.0000 0.0000
Ta 0.0000 0.5000 0.5000
Ta 0.5000 0.0000 0.5000
Fe 0.5000 0.5000 0.0000
! DOS at the Fermi energy	0.770	states/eV/atom
! crystal system	tetragonal
! SG	P4/mmm (123)


Of them, version 1 has the lowest stability.


Version 1
! LiFeTc (PBE, optimized geometry); values from VASP
&SYSTEM
  ibrav = 0, nat = 3, ntyp = 3
/
ATOMIC_SPECIES
Li 6.94 Li.upf
Fe 55.84 Fe.upf
Tc 98.00 Tc.upf
CELL_PARAMETERS angstrom
-1.4362 1.4362 4.4860
1.4362 -1.4362 4.4860
1.4362 1.4362 -4.4860
ATOMIC_POSITIONS crystal
Li 0.0000 0.0000 0.0000
Fe 0.3342 0.3342 0.0000
Tc 0.6894 0.6894 0.0000
! DOS at the Fermi energy	0.640	states/eV/atom
! crystal system	tetragonal
! SG	I4mm (107)


Version 2
! LiFeTc (PBE, optimized geometry); values from VASP
&SYSTEM
  ibrav = 0, nat = 3, ntyp = 3
/
ATOMIC_SPECIES
Li 6.94 Li.upf
Fe 55.84 Fe.upf
Tc 98.00 Tc.upf
CELL_PARAMETERS angstrom
0.0000 2.7428 2.7428
2.7428 0.0000 2.7428
2.7428 2.7428 0.0000
ATOMIC_POSITIONS crystal
Li 0.0000 0.0000 0.0000
Fe 0.7500 0.7500 0.7500
Tc 0.5000 0.5000 0.5000
! DOS at the Fermi energy	0.921	states/eV/atom
! crystal system	cubic
! SG	F-43m (216)


Of them, version 2 has the lowest stability.


Version 1
! LiFeTc (PBE, optimized geometry); values from VASP
&SYSTEM
  ibrav = 0, nat = 3, ntyp = 3
/
ATOMIC_SPECIES
Li 6.94 Li.upf
Fe 55.84 Fe.upf
Tc 98.00 Tc.upf
CELL_PARAMETERS angstrom
0.0000 2.1208 6.6174
1.4687 0.0000 6.6174
1.4687 2.1208 0.0000
ATOMIC_POSITIONS crystal
Li 0.0000 0.0000 0.0000
Fe 0.3312 0.3312 0.6688
Tc 0.6767 0.6767 0.3233
! DOS at the Fermi energy	0.870	states/eV/atom
! crystal system	orthorhombic
! SG	Fmm2 (42)


Version 2
! LiFeTc (PBE, optimized geometry); values from VASP
&SYSTEM
  ibrav = 0, nat = 3, ntyp = 3
/
ATOMIC_SPECIES
Li 6.94 Li.upf
Fe 55.84 Fe.upf
Tc 98.00 Tc.upf
CELL_PARAMETERS angstrom
4.1061 0.0000 0.0000
-2.0531 3.5560 0.0000
0.0000 0.0000 2.5063
ATOMIC_POSITIONS crystal
Li 0.0000 0.0000 0.0000
Fe 0.6667 0.3333 0.6737
Tc 0.3333 0.6667 0.3886
! DOS at the Fermi energy	0.491	states/eV/atom
! crystal system	trigonal
! SG	P3m1 (156)


Of them, version 1 has the lowest stability.


Version 1
! LiFeTc2 (PBE, optimized geometry); values from VASP
&SYSTEM
  ibrav = 0, nat = 4, ntyp = 3
/
ATOMIC_SPECIES
Li 6.94 Li.upf
Fe 55.84 Fe.upf
Tc 98.00 Tc.upf
CELL_PARAMETERS angstrom
0.0000 2.9213 2.9213
2.9213 0.0000 2.9213
2.9213 2.9213 0.0000
ATOMIC_POSITIONS crystal
Li 0.0000 0.0000 0.0000
Fe 0.5000 0.5000 0.5000
Tc 0.2500 0.2500 0.2500
Tc 0.7500 0.7500 0.7500
! DOS at the Fermi energy	1.463	states/eV/atom
! crystal system	cubic
! SG	Fm-3m (225)


Version 2
! LiFeTc2 (PBE, optimized geometry); values from VASP
&SYSTEM
  ibrav = 0, nat = 4, ntyp = 3
/
ATOMIC_SPECIES
Li 6.94 Li.upf
Fe 55.84 Fe.upf
Tc 98.00 Tc.upf
CELL_PARAMETERS angstrom
2.5355 0.0000 0.0000
0.0000 2.5355 0.0000
0.0000 0.0000 8.5896
ATOMIC_POSITIONS crystal
Li 0.0000 0.0000 0.0000
Fe 0.0000 0.0000 0.5000
Tc 0.5000 0.5000 0.2639
Tc 0.5000 0.5000 0.7361
! DOS at the Fermi energy	1.029	states/eV/atom
! crystal system	tetragonal
! SG	P4/mmm (123)


Of them, version 1 has the lowest stability.


Version 1
! LiFeTc2 (PBE, optimized geometry); values from VASP
&SYSTEM
  ibrav = 0, nat = 4, ntyp = 3
/
ATOMIC_SPECIES
Li 6.94 Li.upf
Fe 55.84 Fe.upf
Tc 98.00 Tc.upf
CELL_PARAMETERS angstrom
2.5682 -4.2666 0.0000
2.5682 4.2666 0.0000
-0.6326 0.0000 2.4442
ATOMIC_POSITIONS crystal
Li 0.0000 0.0000 0.0000
Fe 0.5000 0.5000 0.0000
Tc 0.0000 0.5000 0.5000
Tc 0.5000 0.0000 0.5000
! DOS at the Fermi energy	0.786	states/eV/atom
! crystal system	monoclinic
! SG	C2/m (12)


Version 2
! LiFeTc2 (PBE, optimized geometry); values from VASP
&SYSTEM
  ibrav = 0, nat = 4, ntyp = 3
/
ATOMIC_SPECIES
Li 6.94 Li.upf
Fe 55.84 Fe.upf
Tc 98.00 Tc.upf
CELL_PARAMETERS angstrom
4.4097 -1.2667 0.0000
4.4097 1.2667 0.0000
-0.3553 0.0000 4.8101
ATOMIC_POSITIONS crystal
Li 0.0000 0.0000 0.0000
Fe 0.7510 0.7510 0.2236
Tc 0.2471 0.2471 0.7373
Tc 0.4864 0.4864 0.4943
! DOS at the Fermi energy	1.057	states/eV/atom
! crystal system	monoclinic
! SG	Cm (8)


Of them, version 2 has the lowest stability.


Version 1
! LiFeTc2 (PBE, optimized geometry); values from VASP
&SYSTEM
  ibrav = 0, nat = 4, ntyp = 3
/
ATOMIC_SPECIES
Li 6.94 Li.upf
Fe 55.84 Fe.upf
Tc 98.00 Tc.upf
CELL_PARAMETERS angstrom
2.5286 0.0000 0.0000
0.0000 4.2916 0.0000
-0.6804 0.0000 4.9122
ATOMIC_POSITIONS crystal
Li 0.0000 0.0000 0.0000
Fe 0.1770 0.5000 0.7654
Tc 0.4983 0.0000 0.5008
Tc 0.6977 0.5000 0.2529
! DOS at the Fermi energy	0.867	states/eV/atom
! crystal system	monoclinic
! SG	Pm (6)


Version 2
! LiFeTc2 (PBE, optimized geometry); values from VASP
&SYSTEM
  ibrav = 0, nat = 4, ntyp = 3
/
ATOMIC_SPECIES
Li 6.94 Li.upf
Fe 55.84 Fe.upf
Tc 98.00 Tc.upf
CELL_PARAMETERS angstrom
2.5382 0.0000 0.0000
0.0000 4.2228 0.0000
-1.0799 0.0000 4.9585
ATOMIC_POSITIONS crystal
Li 0.0000 0.0000 0.0000
Fe 0.5000 0.0000 0.5000
Tc 0.2699 0.5000 0.7536
Tc 0.7301 0.5000 0.2464
! DOS at the Fermi energy	0.837	states/eV/atom
! crystal system	monoclinic
! SG	P2/m (10)


Version 3
! LiFeTc2 (PBE, optimized geometry); values from VASP
&SYSTEM
  ibrav = 0, nat = 4, ntyp = 3
/
ATOMIC_SPECIES
Li 6.94 Li.upf
Fe 55.84 Fe.upf
Tc 98.00 Tc.upf
CELL_PARAMETERS angstrom
-1.5575 2.0866 4.0183
1.5575 -2.0866 4.0183
1.5575 2.0866 -4.0183
ATOMIC_POSITIONS crystal
Li 0.0000 0.0000 0.0000
Fe 0.7538 0.2538 0.5000
Tc 0.2620 0.7620 0.5000
Tc 0.5091 0.5091 0.0000
! DOS at the Fermi energy	1.091	states/eV/atom
! crystal system	orthorhombic
! SG	Imm2 (44)


Of them, version 3 has the lowest stability.


Version 1
! LiFeTc2 (PBE, optimized geometry); values from VASP
&SYSTEM
  ibrav = 0, nat = 4, ntyp = 3
/
ATOMIC_SPECIES
Li 6.94 Li.upf
Fe 55.84 Fe.upf
Tc 98.00 Tc.upf
CELL_PARAMETERS angstrom
-1.5308 2.0720 4.1499
1.5308 -2.0720 4.1499
1.5308 2.0720 -4.1499
ATOMIC_POSITIONS crystal
Li 0.0000 0.0000 0.0000
Fe 0.5000 0.5000 0.0000
Tc 0.2547 0.7547 0.5000
Tc 0.7453 0.2453 0.5000
! DOS at the Fermi energy	0.843	states/eV/atom
! crystal system	orthorhombic
! SG	Immm (71)


Version 2
! LiFeTc2 (PBE, optimized geometry); values from VASP
&SYSTEM
  ibrav = 0, nat = 4, ntyp = 3
/
ATOMIC_SPECIES
Li 6.94 Li.upf
Fe 55.84 Fe.upf
Tc 98.00 Tc.upf
CELL_PARAMETERS angstrom
3.2338 0.0000 0.0000
0.0000 3.9639 0.0000
0.0000 0.0000 4.1381
ATOMIC_POSITIONS crystal
Li 0.0000 0.0000 0.0000
Fe 0.5000 0.5000 0.0000
Tc 0.0000 0.5000 0.5000
Tc 0.5000 0.0000 0.5000
! DOS at the Fermi energy	0.800	states/eV/atom
! crystal system	orthorhombic
! SG	Pmmm (47)


Version 3
! LiFeTc2 (PBE, optimized geometry); values from VASP
&SYSTEM
  ibrav = 0, nat = 4, ntyp = 3
/
ATOMIC_SPECIES
Li 6.94 Li.upf
Fe 55.84 Fe.upf
Tc 98.00 Tc.upf
CELL_PARAMETERS angstrom
2.5933 0.0000 0.0000
0.0000 3.9819 0.0000
0.0000 0.0000 5.1478
ATOMIC_POSITIONS crystal
Li 0.0000 0.0000 0.0000
Fe 0.5000 0.5000 0.7731
Tc 0.0000 0.0000 0.5075
Tc 0.5000 0.5000 0.2598
! DOS at the Fermi energy	0.902	states/eV/atom
! crystal system	orthorhombic
! SG	Pmm2 (25)


Of them, version 2 has the lowest stability.


Version 1
! LiFeTc2 (PBE, optimized geometry); values from VASP
&SYSTEM
  ibrav = 0, nat = 8, ntyp = 3
/
ATOMIC_SPECIES
Li 6.94 Li.upf
Fe 55.84 Fe.upf
Tc 98.00 Tc.upf
CELL_PARAMETERS angstrom
-3.3716 3.3716 2.4870
3.3716 -3.3716 2.4870
3.3716 3.3716 -2.4870
ATOMIC_POSITIONS crystal
Li 0.0000 0.0000 0.0000
Li 0.7500 0.2500 0.5000
Fe 0.2500 0.7500 0.5000
Fe 0.5000 0.5000 0.0000
Tc 0.1621 0.6250 0.0371
Tc 0.3750 0.4121 0.5371
Tc 0.5879 0.1250 0.9629
Tc 0.8750 0.8379 0.4629
! DOS at the Fermi energy	1.202	states/eV/atom
! crystal system	tetragonal
! SG	I-42d (122)


Version 2
! LiFeTc2 (PBE, optimized geometry); values from VASP
&SYSTEM
  ibrav = 0, nat = 4, ntyp = 3
/
ATOMIC_SPECIES
Li 6.94 Li.upf
Fe 55.84 Fe.upf
Tc 98.00 Tc.upf
CELL_PARAMETERS angstrom
1.4789 -2.1570 0.0000
1.4789 2.1570 0.0000
0.0000 0.0000 8.8547
ATOMIC_POSITIONS crystal
Li 0.0000 0.0000 0.0000
Fe 0.5000 0.5000 0.2535
Tc 0.0000 0.0000 0.4865
Tc 0.5000 0.5000 0.7372
! DOS at the Fermi energy	0.782	states/eV/atom
! crystal system	orthorhombic
! SG	Cmm2 (35)


Version 3
! LiFeTc2 (PBE, optimized geometry); values from VASP
&SYSTEM
  ibrav = 0, nat = 4, ntyp = 3
/
ATOMIC_SPECIES
Li 6.94 Li.upf
Fe 55.84 Fe.upf
Tc 98.00 Tc.upf
CELL_PARAMETERS angstrom
1.3336 0.7700 8.9702
-1.3336 0.7700 8.9702
0.0000 -1.5399 8.9702
ATOMIC_POSITIONS crystal
Li 0.0000 0.0000 0.0000
Fe 0.5000 0.5000 0.5000
Tc 0.2432 0.2432 0.2432
Tc 0.7568 0.7568 0.7568
! DOS at the Fermi energy	0.911	states/eV/atom
! crystal system	trigonal
! SG	R-3m (166)


Of them, version 1 has the lowest stability.


Version 1
! LiFeTc2 (PBE, optimized geometry); values from VASP
&SYSTEM
  ibrav = 0, nat = 4, ntyp = 3
/
ATOMIC_SPECIES
Li 6.94 Li.upf
Fe 55.84 Fe.upf
Tc 98.00 Tc.upf
CELL_PARAMETERS angstrom
2.5121 0.0000 0.0000
0.0000 4.1195 0.0000
0.0000 0.0000 5.1107
ATOMIC_POSITIONS crystal
Li 0.0000 0.0000 0.0000
Fe 0.0000 0.0000 0.5000
Tc 0.5000 0.5000 0.2469
Tc 0.5000 0.5000 0.7531
! DOS at the Fermi energy	0.911	states/eV/atom
! crystal system	orthorhombic
! SG	Pmmm (47)


Version 2
! LiFeTc2 (PBE, optimized geometry); values from VASP
&SYSTEM
  ibrav = 0, nat = 4, ntyp = 3
/
ATOMIC_SPECIES
Li 6.94 Li.upf
Fe 55.84 Fe.upf
Tc 98.00 Tc.upf
CELL_PARAMETERS angstrom
-2.1055 2.1055 2.9735
2.1055 -2.1055 2.9735
2.1055 2.1055 -2.9735
ATOMIC_POSITIONS crystal
Li 0.0000 0.0000 0.0000
Fe 0.7500 0.2500 0.5000
Tc 0.2500 0.7500 0.5000
Tc 0.5000 0.5000 0.0000
! DOS at the Fermi energy	1.155	states/eV/atom
! crystal system	tetragonal
! SG	I-4m2 (119)


Of them, version 1 has the lowest stability.


Version 1
! LiFeTc2 (PBE, optimized geometry); values from VASP
&SYSTEM
  ibrav = 0, nat = 4, ntyp = 3
/
ATOMIC_SPECIES
Li 6.94 Li.upf
Fe 55.84 Fe.upf
Tc 98.00 Tc.upf
CELL_PARAMETERS angstrom
3.0696 0.0000 0.0000
0.0000 3.0696 0.0000
0.0000 0.0000 5.5552
ATOMIC_POSITIONS crystal
Li 0.0000 0.0000 0.0000
Fe 0.5000 0.5000 0.7849
Tc 0.0000 0.0000 0.5080
Tc 0.5000 0.5000 0.2500
! DOS at the Fermi energy	0.855	states/eV/atom
! crystal system	tetragonal
! SG	P4mm (99)


Version 2
! LiFeTc2 (PBE, optimized geometry); values from VASP
&SYSTEM
  ibrav = 0, nat = 4, ntyp = 3
/
ATOMIC_SPECIES
Li 6.94 Li.upf
Fe 55.84 Fe.upf
Tc 98.00 Tc.upf
CELL_PARAMETERS angstrom
1.4983 -2.0859 0.0000
1.4983 2.0859 0.0000
0.0000 0.0000 8.8695
ATOMIC_POSITIONS crystal
Li 0.0000 0.0000 0.0000
Fe 0.0000 0.0000 0.5000
Tc 0.5000 0.5000 0.2638
Tc 0.5000 0.5000 0.7362
! DOS at the Fermi energy	0.751	states/eV/atom
! crystal system	orthorhombic
! SG	Cmmm (65)


Of them, version 1 has the lowest stability.


Version 1
! LiThFe (PBE, optimized geometry); values from VASP
&SYSTEM
  ibrav = 0, nat = 6, ntyp = 3
/
ATOMIC_SPECIES
Li 6.94 Li.upf
Th 232.04 Th.upf
Fe 55.84 Fe.upf
CELL_PARAMETERS angstrom
3.3823 -1.9500 0.0000
3.3823 1.9500 0.0000
-0.0102 0.0000 10.9842
ATOMIC_POSITIONS crystal
Li 0.1665 0.1665 0.0799
Li 0.8335 0.8335 0.9201
Th 0.4996 0.4996 0.3263
Th 0.5004 0.5004 0.6737
Fe 0.1666 0.1666 0.5072
Fe 0.8334 0.8334 0.4928
! DOS at the Fermi energy	0.923	states/eV/atom
! crystal system	monoclinic
! SG	C2/m (12)


Version 2
! LiThFe (PBE, optimized geometry); values from VASP
&SYSTEM
  ibrav = 0, nat = 6, ntyp = 3
/
ATOMIC_SPECIES
Li 6.94 Li.upf
Th 232.04 Th.upf
Fe 55.84 Fe.upf
CELL_PARAMETERS angstrom
5.0093 -2.4229 0.0000
5.0093 2.4229 0.0000
-1.0881 0.0000 4.6984
ATOMIC_POSITIONS crystal
Li 0.0814 0.0814 0.2997
Li 0.9186 0.9186 0.7003
Th 0.3693 0.3693 0.1840
Th 0.6307 0.6307 0.8160
Fe 0.3108 0.3108 0.6651
Fe 0.6892 0.6892 0.3349
! DOS at the Fermi energy	0.561	states/eV/atom
! crystal system	monoclinic
! SG	C2/m (12)


Of them, version 2 has the lowest stability.


Version 1
! LiTh2Fe (PBE, optimized geometry); values from VASP
&SYSTEM
  ibrav = 0, nat = 4, ntyp = 3
/
ATOMIC_SPECIES
Li 6.94 Li.upf
Th 232.04 Th.upf
Fe 55.84 Fe.upf
CELL_PARAMETERS angstrom
3.3783 -1.9453 0.0000
3.3783 1.9453 0.0000
-2.3021 0.0000 8.5316
ATOMIC_POSITIONS crystal
Li 0.0000 0.0000 0.0000
Th 0.2236 0.2236 0.6709
Th 0.4424 0.4424 0.3270
Fe 0.8333 0.8333 0.4998
! DOS at the Fermi energy	0.950	states/eV/atom
! crystal system	monoclinic
! SG	Cm (8)


Version 2
! LiTh2Fe (PBE, optimized geometry); values from VASP
&SYSTEM
  ibrav = 0, nat = 4, ntyp = 3
/
ATOMIC_SPECIES
Li 6.94 Li.upf
Th 232.04 Th.upf
Fe 55.84 Fe.upf
CELL_PARAMETERS angstrom
1.9345 1.1169 9.8346
-1.9345 1.1169 9.8346
0.0000 -2.2337 9.8346
ATOMIC_POSITIONS crystal
Li 0.0000 0.0000 0.0000
Th 0.1172 0.1172 0.1172
Th 0.8828 0.8828 0.8828
Fe 0.5000 0.5000 0.5000
! DOS at the Fermi energy	0.689	states/eV/atom
! crystal system	trigonal
! SG	R-3m (166)


Of them, version 2 has the lowest stability.


Version 1
! LiTi2Fe2 (PBE, optimized geometry); values from VASP
&SYSTEM
  ibrav = 0, nat = 10, ntyp = 3
/
ATOMIC_SPECIES
Li 6.94 Li.upf
Ti 47.87 Ti.upf
Fe 55.84 Fe.upf
CELL_PARAMETERS angstrom
7.0550 0.0000 0.0000
0.0000 7.0550 0.0000
0.0000 0.0000 2.8307
ATOMIC_POSITIONS crystal
Li 0.0000 0.0000 0.0000
Li 0.5000 0.5000 0.0000
Ti 0.1461 0.3539 0.0000
Ti 0.3539 0.8539 0.0000
Ti 0.6461 0.1461 0.0000
Ti 0.8539 0.6461 0.0000
Fe 0.1454 0.6454 0.5000
Fe 0.3546 0.1454 0.5000
Fe 0.6454 0.8546 0.5000
Fe 0.8546 0.3546 0.5000
! DOS at the Fermi energy	0.914	states/eV/atom
! crystal system	tetragonal
! SG	P4/mbm (127)


Version 2
! LiTi2Fe2 (PBE, optimized geometry); values from VASP
&SYSTEM
  ibrav = 0, nat = 10, ntyp = 3
/
ATOMIC_SPECIES
Li 6.94 Li.upf
Ti 47.87 Ti.upf
Fe 55.84 Fe.upf
CELL_PARAMETERS angstrom
6.8691 0.0000 0.0000
0.0000 6.8691 0.0000
0.0000 0.0000 2.9314
ATOMIC_POSITIONS crystal
Li 0.0000 0.0000 0.0000
Li 0.5000 0.5000 0.0000
Ti 0.1532 0.3468 0.5000
Ti 0.3468 0.8468 0.5000
Ti 0.6532 0.1532 0.5000
Ti 0.8468 0.6532 0.5000
Fe 0.1401 0.6401 0.0000
Fe 0.3599 0.1401 0.0000
Fe 0.6401 0.8599 0.0000
Fe 0.8599 0.3599 0.0000
! DOS at the Fermi energy	0.946	states/eV/atom
! crystal system	tetragonal
! SG	P4/mbm (127)


Of them, version 1 has the lowest stability.